Entry 1:
The following is a DFT calculation (PBEsol) of KReP2Cl after structural relaxation.

For the total energy, the calculation gives -3.262 eV/atom.

```
KReP2Cl
1.0
5.061 0.000 0.000
0.000 5.144 0.000
0.000 0.000 5.144
Re P K Cl
1 2 1 1
Direct
0.500 0.500 0.500
0.000 0.000 0.500
0.000 0.500 0.000
0.000 0.000 0.000
0.500 0.000 0.000
```

Entry 2:
The following is a DFT calculation (PBEsol) of KP2SCl after structural relaxation.

For the total energy, the calculation gives -3.052 eV/atom.

```
KP2SCl
1.0
-1.016 -4.362 -1.627
2.114 -1.916 3.817
-4.203 0.093 2.375
P S Cl K
2 1 1 1
Direct
0.500 0.000 0.000
0.000 0.500 0.000
0.000 0.000 0.500
0.000 0.000 0.000
0.500 0.500 0.500
```

Entry 3:
The following is a DFT calculation (PBEsol) of KP2SeCl after structural relaxation.

For the total energy, the calculation gives -3.554 eV/atom.

```
KP2SeCl
1.0
-3.174 -1.319 3.078
-0.727 -3.869 -2.407
4.843 -3.172 3.636
Se K P Cl
1 1 2 1
Direct
0.000 0.000 0.000
0.500 0.500 0.500
0.500 0.000 0.000
0.000 0.500 0.000
0.000 0.000 0.500
```

Entry 4:
The following is a DFT calculation (PBEsol) of KSnP2Cl after structural relaxation.

For the total energy, the calculation gives -2.718 eV/atom.

```
KSnP2Cl
1.0
5.240 0.000 0.000
0.000 5.233 0.000
0.000 0.000 5.233
K Cl P Sn
1 1 2 1
Direct
0.000 0.000 0.000
0.500 0.000 0.000
0.000 0.000 0.500
0.000 0.500 0.000
0.500 0.500 0.500
```

Entry 5:
The following is a DFT calculation (PBEsol) of KYP2Cl after structural relaxation.

For the total energy, the calculation gives -3.835 eV/atom.

```
KYP2Cl
1.0
-3.682 3.141 1.162
-3.287 -3.055 -2.155
-0.661 -2.413 4.429
Y P K Cl
1 2 1 1
Direct
0.500 0.500 0.500
0.000 0.500 0.000
0.500 0.000 0.000
0.000 0.000 0.000
0.000 0.000 0.500
```

Entry 6:
The following is a DFT calculation (PBEsol) of KPbCl after structural relaxation.

The calculation puts the excess energy over the best structure of this formula in the dataset at 0 meV per atom.

```
KPbCl
1.0
3.540 0.000 0.000
0.000 3.540 0.000
-1.770 -1.770 7.384
Cl Pb K
1 1 1
Direct
0.979 0.979 0.959
0.647 0.647 0.295
0.373 0.373 0.746
```

- Number 1 is which compound?
  KReP2Cl

Repeat the sixth record exactly.
The following is a DFT calculation (PBEsol) of KPbCl after structural relaxation.

The calculation puts the excess energy over the best structure of this formula in the dataset at 0 meV per atom.

```
KPbCl
1.0
3.540 0.000 0.000
0.000 3.540 0.000
-1.770 -1.770 7.384
Cl Pb K
1 1 1
Direct
0.979 0.979 0.959
0.647 0.647 0.295
0.373 0.373 0.746
```

Repeat the third record exactly.
The following is a DFT calculation (PBEsol) of KP2SeCl after structural relaxation.

For the total energy, the calculation gives -3.554 eV/atom.

```
KP2SeCl
1.0
-3.174 -1.319 3.078
-0.727 -3.869 -2.407
4.843 -3.172 3.636
Se K P Cl
1 1 2 1
Direct
0.000 0.000 0.000
0.500 0.500 0.500
0.500 0.000 0.000
0.000 0.500 0.000
0.000 0.000 0.500
```